The following is a DFT calculation (PBE) of a relaxed structure of KSbO.

Values from the calculation:
Space-group type = P1, No. 1
Distance to the lowest polymorph of the same formula = 0.029 eV per atom
Crystal system = triclinic
V = 26.47 A^3/atom

Lattice parameters (Å, degrees): 5.090 5.322 5.905 83.52 88.30 88.42
Positions (direct):
K 0.680 0.421 0.869
K 0.143 0.925 0.916
O 0.663 0.942 0.738
O 0.893 0.140 0.257
Sb 0.180 0.380 0.360
Sb 0.582 0.961 0.417